1.
Entry from Alexandria via LeMat-Bulk: an optimized crystal structure of Ac2RhPb6 (PBE).

Properties
The density of states at the Fermi level is 0.52 states/eV/atom.

abc: 4.6805 4.7983 12.9010
angles: 90.00 100.45 90.00
Last column: nearest neighbours and their distance in Å.
Fractional coordinates of all 9 atoms:
Pb: 0.4616 0.5000 0.9232  2 Pb 3.09, 4 Ac 3.43
Pb: 0.8819 0.5000 0.7638  1 Rh 2.68
Ac: 0.9907 0.0000 0.9813  10 Pb 3.43-3.66
Pb: 0.0953 0.5000 0.1906  5 Pb 3.08-3.35
Ac: 0.3290 0.0000 0.6579  4 Rh 3.61, 8 Pb 3.61-3.72
Pb: 0.5984 0.0000 0.1968  5 Pb 3.06-3.35
Rh: 0.7765 0.5000 0.5529  5 Pb 2.68-2.81
Pb: 0.7189 0.0000 0.4379  2 Rh 2.81, 1 Pb 3.06
Pb: 0.2168 0.5000 0.4336  2 Rh 2.79, 1 Pb 3.08

2.
Entry from Alexandria via LeMat-Bulk: an optimized crystal structure of Ac6RhPb3 (PBE).

Properties
The density of states at the Fermi level is 1.01 states/eV/atom.

abc: 6.9860 9.3967 11.7715
angles: 90.00 88.31 90.00
Last column: nearest neighbours and their distance in Å.
Fractional coordinates of all 20 atoms:
Ac: 0.3613 0.8438 0.0638  1 Rh 3.03
Ac: 0.8655 0.9562 0.2336  1 Rh 2.91
Ac: 0.8613 0.6562 0.5638  1 Rh 3.03
Ac: 0.8857 0.6970 0.9373  1 Rh 3.05, 1 Pb 3.33
Pb: 0.5000 0.5000 0.0000  6 Ac 3.33-3.45
Ac: 0.6143 0.1970 0.5627  1 Rh 3.05, 1 Pb 3.33
Ac: 0.1387 0.3438 0.4362  1 Rh 3.03
Ac: 0.1143 0.3030 0.0627  1 Rh 3.05, 1 Pb 3.33
Pb: 0.5848 0.8837 0.7386  6 Ac 3.49-3.64
Pb: 0.0000 0.0000 0.5000  6 Ac 3.33-3.45
Ac: 0.1345 0.0438 0.7664  1 Rh 2.91
Rh: 0.5000 0.5000 0.5000  6 Ac 2.91-3.05
Ac: 0.3857 0.8030 0.4373  1 Rh 3.05, 1 Pb 3.33
Ac: 0.3655 0.5438 0.7336  1 Rh 2.91
Pb: 0.4152 0.1163 0.2614  6 Ac 3.49-3.64
Rh: 0.0000 0.0000 0.0000  6 Ac 2.91-3.05
Pb: 0.9152 0.3837 0.7614  6 Ac 3.49-3.64
Pb: 0.0848 0.6163 0.2386  6 Ac 3.49-3.64
Ac: 0.6387 0.1562 0.9362  1 Rh 3.03
Ac: 0.6345 0.4562 0.2664  1 Rh 2.91

3.
Entry from Alexandria via LeMat-Bulk: an optimized crystal structure of AcRh4Pb (PBE).

Properties
The density of states at the Fermi level is 1.10 states/eV/atom.

abc: 5.4766 5.4766 5.4766
angles: 60.00 60.00 60.00
Last column: nearest neighbours and their distance in Å.
Fractional coordinates of all 6 atoms:
Rh: 0.6262 0.1215 0.6262  6 Rh 2.71-2.76
Ac: 0.2500 0.2500 0.2500  12 Rh 3.21, 4 Pb 3.35
Rh: 0.6262 0.6262 0.1215  6 Rh 2.71-2.76
Rh: 0.1215 0.6262 0.6262  6 Rh 2.71-2.76
Pb: 0.0000 0.0000 0.0000  12 Rh 3.21, 4 Ac 3.35
Rh: 0.6262 0.6262 0.6262  6 Rh 2.71-2.76

4.
Entry from Alexandria via LeMat-Bulk: an optimized crystal structure of Ac2Rh5Pb4 (PBE).

Properties
The density of states at the Fermi level is 0.39 states/eV/atom.

abc: 6.1202 6.0467 8.8054
angles: 79.87 69.66 59.60
Last column: nearest neighbours and their distance in Å.
Fractional coordinates of all 11 atoms:
Pb: 0.7897 0.6787 0.7418  5 Rh 2.68-2.78
Pb: 0.2103 0.3213 0.2582  5 Rh 2.68-2.78
Rh: 0.2500 0.5000 0.5000  4 Pb 2.68
Ac: 0.8778 0.0000 0.2443  6 Pb 3.49-3.54, 10 Rh 3.63-3.69
Rh: 0.7500 0.5000 0.5000  4 Pb 2.68
Pb: 0.5315 0.6787 0.2582  5 Rh 2.68-2.78
Rh: 0.5000 0.0000 0.0000  4 Pb 2.71, 4 Rh 3.02
Rh: 0.5000 0.5000 0.0000  4 Pb 2.78, 4 Rh 3.02-3.06
Rh: 0.0000 0.5000 0.0000  4 Pb 2.78, 4 Rh 3.02-3.06
Pb: 0.4685 0.3213 0.7418  5 Rh 2.68-2.78
Ac: 0.1222 0.0000 0.7557  6 Pb 3.49-3.54, 10 Rh 3.63-3.69

For the records above, the corresponding total magnetization values read 0.0 0.0 0.0 0.0 μB per formula unit.
For the records above, the corresponding energy relative to the elements values read -0.30 -0.45 -0.29 -0.31 eV per atom.
For the records above, the corresponding total energy values read -40.48 -95.29 -38.95 -63.17 eV for the cell shown.